# 1
An optimized crystal structure of CeNdTm2As4. Source: Alexandria, functional PBE.

Results
- energy (eV for the cell shown) = -50.10
- energy relative to the elements (eV/f.u.) = -11.86
- space-group type = P2/m (10)

The structure in POSCAR format:
```
CeNdTm2As4
1.0
7.1786 0.0000 0.0000
0.0000 4.1582 0.0000
-2.4002 0.0000 6.7917
Ce Nd Tm As
1 1 2 4
direct
0.0000 0.0000 0.0000 Ce
0.0000 0.5000 0.5000 Nd
0.5000 0.0000 0.5000 Tm
0.5000 0.5000 0.0000 Tm
0.2596 0.5000 0.2508 As
0.2607 0.0000 0.7568 As
0.7393 0.0000 0.2432 As
0.7404 0.5000 0.7492 As
```

---

# 2
An optimized crystal structure of Ce3Nd2TmAs6. Source: Alexandria, functional PBE.

Results
- energy (eV for the cell shown) = -77.28
- energy relative to the elements (eV/f.u.) = -17.57
- space-group type = C2/m (12)

The structure in POSCAR format:
```
Ce3Nd2TmAs6
1.0
3.6475 -6.3183 0.0000
3.6475 6.3183 0.0000
-2.4347 0.0000 6.8699
Ce Nd Tm As
3 2 1 6
direct
0.0000 0.0000 0.0000 Ce
0.3317 0.6683 0.0000 Ce
0.6683 0.3317 0.0000 Ce
0.1661 0.8339 0.5000 Nd
0.8339 0.1661 0.5000 Nd
0.5000 0.5000 0.5000 Tm
0.0904 0.4167 0.2493 As
0.2584 0.2584 0.7526 As
0.4167 0.0904 0.2493 As
0.5833 0.9096 0.7507 As
0.7416 0.7416 0.2474 As
0.9096 0.5833 0.7507 As
```

---

# 3
An optimized crystal structure of Ce2NdTm3As6. Source: Alexandria, functional PBE.

Results
- energy (eV for the cell shown) = -75.66
- energy relative to the elements (eV/f.u.) = -17.72
- space-group type = C2/m (12)

The structure in POSCAR format:
```
Ce2NdTm3As6
1.0
9.0297 -2.0777 0.0000
9.0297 2.0777 0.0000
-1.8716 0.0000 8.0794
Ce Nd Tm As
2 1 3 6
direct
0.1665 0.1665 0.3325 Ce
0.8335 0.8335 0.6675 Ce
0.5000 0.5000 0.0000 Nd
0.1659 0.1659 0.8336 Tm
0.5000 0.5000 0.5000 Tm
0.8341 0.8341 0.1664 Tm
0.0013 0.0013 0.7415 As
0.3302 0.3302 0.9202 As
0.3350 0.3350 0.4122 As
0.6650 0.6650 0.5878 As
0.6698 0.6698 0.0798 As
0.9987 0.9987 0.2585 As
```

---

# 4
An optimized crystal structure of CeNdU2As4. Source: Alexandria, functional PBE.

Results
- energy (eV for the cell shown) = -60.63
- energy relative to the elements (eV/f.u.) = -8.75
- space-group type = P2/m (10)

The structure in POSCAR format:
```
CeNdU2As4
1.0
7.1580 0.0000 0.0000
0.0000 4.1304 0.0000
-2.3864 0.0000 6.9219
Ce Nd U As
1 1 2 4
direct
0.0000 0.0000 0.0000 Ce
0.5000 0.5000 0.0000 Nd
0.0000 0.5000 0.5000 U
0.5000 0.0000 0.5000 U
0.2444 0.0000 0.7384 As
0.2518 0.5000 0.2600 As
0.7482 0.5000 0.7400 As
0.7556 0.0000 0.2616 As
```

---

# 5
An optimized crystal structure of Ce2Nd3UAs6. Source: Alexandria, functional PBE.

Results
- energy (eV for the cell shown) = -81.58
- energy relative to the elements (eV/f.u.) = -16.23
- space-group type = C2/m (12)

The structure in POSCAR format:
```
Ce2Nd3UAs6
1.0
9.2126 -2.1037 0.0000
9.2126 2.1037 0.0000
-1.9954 0.0000 8.2324
Ce Nd U As
2 3 1 6
direct
0.1657 0.1657 0.3324 Ce
0.8343 0.8343 0.6676 Ce
0.1680 0.1680 0.8325 Nd
0.5000 0.5000 0.5000 Nd
0.8320 0.8320 0.1675 Nd
0.5000 0.5000 0.0000 U
0.0001 0.0001 0.2399 As
0.9999 0.9999 0.7601 As
0.3317 0.3317 0.4203 As
0.3375 0.3375 0.9160 As
0.6625 0.6625 0.0840 As
0.6683 0.6683 0.5797 As
```

---

# 6
An optimized crystal structure of Ce2NdUAs4. Source: Alexandria, functional PBE.

Results
- energy (eV for the cell shown) = -56.64
- energy relative to the elements (eV/f.u.) = -10.11
- space-group type = P2/m (10)

The structure in POSCAR format:
```
Ce2NdUAs4
1.0
7.2565 0.0000 0.0000
0.0000 4.1836 0.0000
-2.4092 0.0000 6.8922
Ce Nd U As
2 1 1 4
direct
0.0000 0.0000 0.0000 Ce
0.0000 0.5000 0.5000 Ce
0.5000 0.0000 0.5000 Nd
0.5000 0.5000 0.0000 U
0.2504 0.5000 0.2424 As
0.2554 0.0000 0.7581 As
0.7446 0.0000 0.2419 As
0.7496 0.5000 0.7576 As
```